# 1
NaSeS3 | SCAN | PBEsol geometry

a b c (Å): 4.7957 4.7957 4.7957
angles (deg): 90.00 90.00 90.00
With the nearest neighbours (Å) after each atom.
Atoms (fractional coordinates):
S 0.0000 0.0000 0.5000  2 Se 2.40
S 0.5000 0.0000 0.0000  2 Se 2.40
S 0.0000 0.5000 0.0000  2 Se 2.40
Na 0.5000 0.5000 0.5000  12 S 3.39
Se 0.0000 0.0000 0.0000  6 S 2.40

Electronic total energy = -52.61 eV/cell
Formation energy (no corrections) = 113.9 meV per atom
SG = Pm-3m, No. 221



# 2
ZrCuW2 | SCAN | PBEsol geometry

a b c (Å): 2.7352 4.8294 5.1421
angles (deg): 96.86 90.00 106.45
With the nearest neighbours (Å) after each atom.
Atoms (fractional coordinates):
Zr 0.5112 0.0224 0.5226  2 Zr 2.74, 3 Cu 2.75-2.78, 7 W 2.80-3.06
W 0.9867 0.9734 0.0064  5 W 2.63-2.86, 2 Cu 2.74, 2 Zr 2.87
W 0.7453 0.4905 0.2254  5 W 2.63-2.86, 1 Zr 2.80, 2 Cu 2.83
Cu 0.2568 0.5137 0.7456  2 Cu 2.74, 7 W 2.74-2.99, 3 Zr 2.75-2.78

Electronic total energy = -183.70 eV/cell
SG = Cm, No. 8
Excess energy over the best structure of this formula in the dataset = 1.09 eV/f.u.
Calculated formation energy = 0.393 eV per atom



# 3
ZnAsPSe2 | SCAN | PBEsol geometry

a b c (Å): 4.7306 4.7306 4.7452
angles (deg): 90.00 90.00 90.00
With the nearest neighbours (Å) after each atom.
Atoms (fractional coordinates):
Se 0.5000 0.0000 0.0000  2 Zn 2.37
Se 0.0000 0.5000 0.0000  2 Zn 2.37
P 0.5000 0.5000 0.5000  4 As 3.35, 8 Se 3.35
As 0.0000 0.0000 0.5000  2 Zn 2.37
Zn 0.0000 0.0000 0.0000  4 Se 2.37, 2 As 2.37

Electronic total energy = -79.48 eV/cell
Formation energy (no corrections) = 955.8 meV per atom
SG = P4/mmm, No. 123



# 4
Tm4CdPt | SCAN | PBEsol geometry

a b c (Å): 9.3812 9.3812 9.3812
angles (deg): 60.00 60.00 60.00
With the nearest neighbours (Å) after each atom.
Atoms (fractional coordinates):
Tm 0.1900 0.8100 0.1900  2 Pt 2.77
Tm 0.0642 0.4358 0.0642  2 Cd 3.16, 10 Tm 3.40-3.52, 2 Pt 3.40
Tm 0.8100 0.1900 0.8100  2 Pt 2.77
Tm 0.6463 0.0610 0.6463  3 Pt 2.78
Tm 0.1900 0.8100 0.8100  2 Pt 2.77
Tm 0.0610 0.6463 0.6463  3 Pt 2.78
Tm 0.4358 0.0642 0.4358  2 Cd 3.16, 10 Tm 3.40-3.52, 2 Pt 3.40
Tm 0.0642 0.0642 0.4358  2 Cd 3.16, 10 Tm 3.40-3.52, 2 Pt 3.40
Tm 0.8100 0.1900 0.1900  2 Pt 2.77
Tm 0.0642 0.4358 0.4358  2 Cd 3.16, 10 Tm 3.40-3.52, 2 Pt 3.40
Tm 0.4358 0.0642 0.0642  2 Cd 3.16, 10 Tm 3.40-3.52, 2 Pt 3.40
Tm 0.1900 0.1900 0.8100  2 Pt 2.77
Tm 0.6463 0.6463 0.6463  3 Pt 2.78
Tm 0.6463 0.6463 0.0610  3 Pt 2.78
Tm 0.8100 0.8100 0.1900  2 Pt 2.77
Tm 0.4358 0.4358 0.0642  2 Cd 3.16, 10 Tm 3.40-3.52, 2 Pt 3.40
Pt 0.8561 0.8561 0.8561  6 Tm 2.77-2.78
Pt 0.4316 0.8561 0.8561  6 Tm 2.77-2.78
Pt 0.8561 0.4316 0.8561  6 Tm 2.77-2.78
Pt 0.8561 0.8561 0.4316  6 Tm 2.77-2.78
Cd 0.4181 0.4181 0.4181  3 Cd 3.07, 9 Tm 3.16-3.39
Cd 0.4181 0.7456 0.4181  3 Cd 3.07, 9 Tm 3.16-3.39
Cd 0.7456 0.4181 0.4181  3 Cd 3.07, 9 Tm 3.16-3.39
Cd 0.4181 0.4181 0.7456  3 Cd 3.07, 9 Tm 3.16-3.39

Electronic total energy = -1250.54 eV/cell
SG = F-43m, No. 216
Calculated formation energy = -0.783 eV per atom



# 5
Tl2PbBr | SCAN | PBEsol geometry

a b c (Å): 5.4386 5.4386 5.4386
angles (deg): 60.00 60.00 60.00
With the nearest neighbours (Å) after each atom.
Atoms (fractional coordinates):
Tl 0.2500 0.2500 0.2500  4 Pb 3.33, 4 Br 3.33
Tl 0.7500 0.7500 0.7500  4 Pb 3.33, 4 Br 3.33
Pb 0.5000 0.5000 0.5000  8 Tl 3.33
Br 0.0000 0.0000 0.0000  8 Tl 3.33

Electronic total energy = -240.55 eV/cell
Formation energy (no corrections) = -148.8 meV per atom
SG = Fm-3m, No. 225
Excess energy over the best structure of this formula in the dataset = 0.42 eV/f.u.



# 6
Tc2Pb3 | SCAN | PBEsol geometry

a b c (Å): 3.2871 3.2871 11.2699
angles (deg): 81.61 81.61 60.00
With the nearest neighbours (Å) after each atom.
Atoms (fractional coordinates):
Tc 0.3950 0.3950 0.8151  6 Pb 2.80
Tc 0.6050 0.6050 0.1849  6 Pb 2.80
Pb 0.2098 0.2098 0.3705  3 Tc 2.80
Pb 0.0000 0.0000 0.0000  6 Tc 2.80
Pb 0.7902 0.7902 0.6295  3 Tc 2.80

Electronic total energy = -293.95 eV/cell
SG = R-3m, No. 166
Calculated formation energy = 0.702 eV per atom



# 7
YNi2 | SCAN | PBEsol geometry

a b c (Å): 4.9916 4.9916 4.9916
angles (deg): 60.00 60.00 60.00
With the nearest neighbours (Å) after each atom.
Atoms (fractional coordinates):
Ni 0.6250 0.6250 0.6250  6 Ni 2.50
Ni 0.1250 0.6250 0.6250  6 Ni 2.50
Ni 0.6250 0.1250 0.6250  6 Ni 2.50
Ni 0.6250 0.6250 0.1250  6 Ni 2.50
Y 0.2500 0.2500 0.2500  12 Ni 2.93, 4 Y 3.06
Y 0.0000 0.0000 0.0000  12 Ni 2.93, 4 Y 3.06

Electronic total energy = -122.89 eV/cell
SG = Fd-3m, No. 227
Calculated formation energy = -0.418 eV per atom



# 8
CoRe2Cl | SCAN | PBEsol geometry

a b c (Å): 2.7079 2.7079 7.4052
angles (deg): 90.00 90.00 90.00
With the nearest neighbours (Å) after each atom.
Atoms (fractional coordinates):
Co 0.5000 0.5000 0.5000  8 Re 2.56, 4 Co 2.71
Re 0.0000 0.0000 0.2707  4 Co 2.56, 4 Re 2.71, 4 Cl 2.77
Re 0.0000 0.0000 0.7293  4 Co 2.56, 4 Re 2.71, 4 Cl 2.77
Cl 0.5000 0.5000 0.0000  4 Cl 2.71, 8 Re 2.77

Electronic total energy = -163.73 eV/cell
Formation energy (no corrections) = 935.9 meV per atom
SG = P4/mmm, No. 123
Excess energy over the best structure of this formula in the dataset = 1.53 eV/f.u.